DFT (PBE) results for a relaxed structure of BeCuSbW.

Cell: 6.2018 6.2018 6.2018 Å, 90.00 90.00 90.00°
Space group F-43m (No. 216)
One atom of each set of equivalent atoms:
Be  0.0000  0.0000  0.0000
Cu  0.0000  0.0000  0.5000
Sb  0.2500  0.2500  0.2500
W  0.2500  0.2500  0.7500

Properties
Theoretical density = 10530 kg/m³
Offset from the most stable computed form = 0.158 eV/atom